Record 1
Here is a geometry-optimized FeCuAuN structure from Alexandria via LeMat-Bulk. Energies are from PBE. Values from VASP.

```
&SYSTEM
  ibrav = 0, nat = 4, ntyp = 4
/
ATOMIC_SPECIES
Fe 55.84 Fe.upf
Cu 63.55 Cu.upf
Au 196.97 Au.upf
N 14.01 N.upf
ATOMIC_POSITIONS angstrom
Fe 0.000 0.000 0.000
Cu 0.000 0.000 3.896
Au 0.000 0.000 8.248
N 1.412 0.000 5.284
CELL_PARAMETERS angstrom
-1.412 1.432 6.262
1.412 -1.432 6.262
1.412 1.432 -6.262
```

Output
The density comes out at 10833 kg/m3. For the energy relative to the elements, uncorrected, the calculation gives 0.247 eV per atom. For the energy above the lowest structure with this stoichiometry, the calculation gives 0.164 eV per atom.

---

Record 2
Here is a geometry-optimized Na2CeAg2Se4 structure from Alexandria via LeMat-Bulk. Energies are from PBE. Values from VASP.

```
&SYSTEM
  ibrav = 0, nat = 9, ntyp = 4
/
ATOMIC_SPECIES
Na 22.99 Na.upf
Ce 140.12 Ce.upf
Ag 107.87 Ag.upf
Se 78.96 Se.upf
ATOMIC_POSITIONS angstrom
Na 1.956 0.000 0.432
Na 10.042 0.000 6.509
Ce -1.673 0.000 3.471
Ag 3.184 0.000 3.619
Ag 8.814 0.000 3.323
Se 0.779 0.000 5.018
Se 6.794 0.000 1.640
Se 5.204 0.000 5.301
Se 11.219 0.000 1.923
CELL_PARAMETERS angstrom
7.672 -2.110 0.000
7.672 2.110 0.000
-3.346 0.000 6.941
```

Output
The density comes out at 5302 kg/m3. For the energy relative to the elements, uncorrected, the calculation gives -0.992 eV per atom.

---

Record 3
Here is a geometry-optimized Ba2SnPbO5 structure from Alexandria via LeMat-Bulk. Energies are from PBE. Values from VASP.

```
&SYSTEM
  ibrav = 0, nat = 18, ntyp = 4
/
ATOMIC_SPECIES
Ba 137.33 Ba.upf
Sn 118.71 Sn.upf
Pb 207.20 Pb.upf
O 16.00 O.upf
ATOMIC_POSITIONS angstrom
Ba 1.743 6.333 5.338
Ba 1.743 6.295 0.811
Ba 1.743 -6.295 6.149
Ba 1.743 -6.333 0.000
Sn 1.743 4.632 8.395
Sn 1.743 -4.632 3.057
Pb 1.743 0.321 2.981
Pb 1.743 -0.321 8.320
O 1.743 6.705 8.369
O 1.743 3.699 1.664
O 1.743 3.693 4.445
O 1.743 2.600 8.380
O 1.743 0.072 0.780
O 1.743 -0.072 6.118
O 1.743 -2.600 3.042
O 1.743 -3.699 7.002
O 1.743 -3.693 9.784
O 1.743 -6.705 3.031
CELL_PARAMETERS angstrom
1.743 -8.474 0.000
1.743 8.474 0.000
0.000 0.000 10.677
```

Output
The density comes out at 7168 kg/m3. For the energy relative to the elements, uncorrected, the calculation gives -1.919 eV per atom.

---

Record 4
Here is a geometry-optimized Ba3VTc structure from Alexandria via LeMat-Bulk. Energies are from PBE. Values from VASP.

```
&SYSTEM
  ibrav = 0, nat = 5, ntyp = 3
/
ATOMIC_SPECIES
Ba 137.33 Ba.upf
V 50.94 V.upf
Tc 98.00 Tc.upf
ATOMIC_POSITIONS angstrom
Ba 0.000 0.000 2.943
Ba 0.000 2.943 0.000
Ba 2.943 0.000 0.000
V 2.943 2.943 2.943
Tc 0.000 0.000 0.000
CELL_PARAMETERS angstrom
5.886 0.000 0.000
0.000 5.886 0.000
0.000 0.000 5.886
```

Output
The density comes out at 4568 kg/m3. The calculation puts the calculated formation energy at 5.102 eV per formula unit. For the energy above the lowest structure with this stoichiometry, the calculation gives 0.000 eV per atom.

---

Record 5
Here is a geometry-optimized Cs2NpAgF6 structure from Alexandria via LeMat-Bulk. Energies are from PBE. Values from VASP.

```
&SYSTEM
  ibrav = 0, nat = 10, ntyp = 4
/
ATOMIC_SPECIES
Cs 132.91 Cs.upf
Np 237.00 Np.upf
Ag 107.87 Ag.upf
F 19.00 F.upf
ATOMIC_POSITIONS angstrom
Cs 2.406 2.406 2.406
Cs 7.219 7.219 7.219
Np 0.000 0.000 0.000
Ag 4.813 4.813 4.813
F 4.813 4.813 2.274
F 4.813 2.274 4.813
F 7.351 4.813 4.813
F 2.274 4.813 4.813
F 4.813 7.351 4.813
F 4.813 4.813 7.351
CELL_PARAMETERS angstrom
0.000 4.813 4.813
4.813 0.000 4.813
4.813 4.813 0.000
```

Output
The density comes out at 5397 kg/m3. For the energy relative to the elements, uncorrected, the calculation gives -2.680 eV per atom.

---

Record 6
Here is a geometry-optimized V2ReW structure from Alexandria via LeMat-Bulk. Energies are from PBE. Values from VASP.

```
&SYSTEM
  ibrav = 0, nat = 4, ntyp = 3
/
ATOMIC_SPECIES
V 50.94 V.upf
Re 186.21 Re.upf
W 183.84 W.upf
ATOMIC_POSITIONS angstrom
V 0.000 2.166 0.000
V 2.166 0.000 0.000
Re 0.000 0.000 1.528
W 2.166 2.166 1.528
CELL_PARAMETERS angstrom
4.332 0.000 0.000
0.000 4.332 0.000
0.000 0.000 3.057
```

Output
The density comes out at 13661 kg/m3. The calculation puts the calculated formation energy at -0.999 eV per formula unit. For the energy above the lowest structure with this stoichiometry, the calculation gives 0.000 eV per atom.

---

Record 7
Here is a geometry-optimized AcPm6Ho2 structure from Alexandria via LeMat-Bulk. Energies are from PBE. Values from VASP.

```
&SYSTEM
  ibrav = 0, nat = 18, ntyp = 3
/
ATOMIC_SPECIES
Ac 227.00 Ac.upf
Pm 145.00 Pm.upf
Ho 164.93 Ho.upf
ATOMIC_POSITIONS angstrom
Ac 0.000 0.000 5.355
Ac 0.000 0.000 16.064
Pm 2.903 1.666 -3.476
Pm 0.000 0.000 1.713
Pm 2.903 -1.666 7.233
Pm 2.903 1.666 3.476
Pm 0.000 0.000 8.997
Pm 0.008 3.328 3.476
Pm 2.888 1.666 7.233
Pm 0.000 0.000 12.422
Pm -0.008 3.328 7.233
Pm -0.008 6.659 3.476
Pm 0.000 0.000 19.706
Pm -0.008 3.328 14.185
Ho 2.880 1.666 0.000
Ho 2.880 -1.666 10.709
Ho 0.015 6.659 0.000
Ho 0.015 3.328 10.709
CELL_PARAMETERS angstrom
-2.895 4.993 10.709
2.895 -4.993 10.709
2.895 4.993 -10.709
```

Output
The density comes out at 7651 kg/m3. The calculation puts the calculated formation energy at 0.545 eV per formula unit. For the energy above the lowest structure with this stoichiometry, the calculation gives 0.000 eV per atom.

---

Record 8
Here is a geometry-optimized Cs2TlVI6 structure from Alexandria via LeMat-Bulk. Energies are from PBE. Values from VASP.

```
&SYSTEM
  ibrav = 0, nat = 10, ntyp = 4
/
ATOMIC_SPECIES
Cs 132.91 Cs.upf
Tl 204.38 Tl.upf
V 50.94 V.upf
I 126.90 I.upf
ATOMIC_POSITIONS angstrom
Cs 3.072 3.072 3.072
Cs 9.216 9.216 9.216
Tl 0.000 0.000 0.000
V 6.144 6.144 6.144
I 6.144 6.144 3.358
I 6.144 3.358 6.144
I 8.931 6.144 6.144
I 3.358 6.144 6.144
I 6.144 8.931 6.144
I 6.144 6.144 8.931
CELL_PARAMETERS angstrom
0.000 6.144 6.144
6.144 0.000 6.144
6.144 6.144 0.000
```

Output
The density comes out at 4591 kg/m3. For the energy relative to the elements, uncorrected, the calculation gives -0.910 eV per atom.

---

Going through the records in order, we get VASP energy values of -23.17, -37.14, -53.62, -20.15, -55.53, -44.64, -41.22, -31.59 eV per formula unit.